## Pr2MnZn3Pt4 (GGA-PBE)

Data for an optimized crystal structure of Pr2MnZn3Pt4.

a = 4.1474 Å, b = 4.1474 Å, c = 11.2142 Å
α = 90.00°, β = 90.00°, γ = 90.00°
With the nearest neighbours (Å) after each atom.
Element x y z (fractional)
1 Pt 0.0000 0.0000 0.0000  4 Zn 2.55
2 Pt 0.5000 0.0000 0.6428  3 Zn 2.52-2.62, 2 Mn 2.62
3 Pt 0.0000 0.5000 0.3572  3 Zn 2.52-2.62, 2 Mn 2.62
4 Pt 0.5000 0.5000 0.0000  4 Zn 2.55
5 Pr 0.0000 0.5000 0.7576  6 Zn 3.18-3.56, 8 Pt 3.20-3.42, 2 Mn 3.56
6 Pr 0.5000 0.0000 0.2424  6 Zn 3.18-3.56, 8 Pt 3.20-3.42, 2 Mn 3.56
7 Zn 0.0000 0.0000 0.5000  4 Pt 2.62, 4 Mn 2.93
8 Zn 0.0000 0.5000 0.1324  5 Pt 2.52-2.55
9 Zn 0.5000 0.0000 0.8676  5 Pt 2.52-2.55
10 Mn 0.5000 0.5000 0.5000  4 Pt 2.62, 4 Zn 2.93

Results
Energy relative to the elements ... -704 meV/atom


## Sc2Be (GGA-PBE)

Data for an optimized crystal structure of Sc2Be.

a = 6.5481 Å, b = 6.5481 Å, c = 6.2122 Å
α = 66.10°, β = 66.10°, γ = 29.35°
With the nearest neighbours (Å) after each atom.
Element x y z (fractional)
1 Sc 0.9843 0.9843 0.2757  4 Be 2.62-2.64
2 Sc 0.2847 0.2847 0.7268  2 Be 2.66
3 Sc 0.7153 0.7153 0.2732  2 Be 2.66
4 Sc 0.0157 0.0157 0.7243  4 Be 2.62-2.64
5 Be 0.6057 0.6057 0.9284  1 Be 2.44, 6 Sc 2.62-2.66
6 Be 0.3943 0.3943 0.0716  1 Be 2.44, 6 Sc 2.62-2.66

Results
Energy relative to the elements ... 104 meV/atom


## Ba3SrAu2O6 (GGA-PBE)

Data for an optimized crystal structure of Ba3SrAu2O6.

a = 6.3701 Å, b = 6.3701 Å, c = 6.9241 Å
α = 90.00°, β = 90.00°, γ = 120.00°
With the nearest neighbours (Å) after each atom.
Element x y z (fractional)
1 O 0.1705 0.3411 0.2952  1 Au 2.13, 1 Sr 2.36
2 O 0.8295 0.6589 0.7048  1 Au 2.13, 1 Sr 2.36
3 O 0.1705 0.8295 0.2952  1 Au 2.13, 1 Sr 2.36
4 O 0.8295 0.1705 0.7048  1 Au 2.13, 1 Sr 2.36
5 O 0.6589 0.8295 0.2952  1 Au 2.13, 1 Sr 2.36
6 O 0.3411 0.1705 0.7048  1 Au 2.13, 1 Sr 2.36
7 Au 0.3333 0.6667 0.1303  3 O 2.13
8 Au 0.6667 0.3333 0.8697  3 O 2.13
9 Ba 0.0000 0.0000 0.0000  6 O 2.78
10 Ba 0.6667 0.3333 0.3755  9 O 2.90-3.23
11 Ba 0.3333 0.6667 0.6245  9 O 2.90-3.23
12 Sr 0.0000 0.0000 0.5000  6 O 2.36

Results
E_form (uncorrected) ... -1.42 eV per atom


## LiSnGe2N (GGA-PBE)

Data for an optimized crystal structure of LiSnGe2N.

a = 4.9720 Å, b = 3.5638 Å, c = 4.9720 Å
α = 90.00°, β = 90.00°, γ = 90.00°
With the nearest neighbours (Å) after each atom.
Element x y z (fractional)
1 Sn 0.5000 0.5000 0.5000  8 Ge 3.06
2 Ge 0.5000 0.0000 0.0000  2 Li 2.49
3 Ge 0.0000 0.0000 0.5000  2 Li 2.49
4 Li 0.0000 0.0000 0.0000  2 N 1.78
5 N 0.0000 0.5000 0.0000  2 Li 1.78

Results
E_form (uncorrected) ... 0.77 eV per atom


## Tm3Tc3B8 (GGA-PBE)

Data for an optimized crystal structure of Tm3Tc3B8.

a = 3.1120 Å, b = 7.4591 Å, c = 7.4591 Å
α = 79.98°, β = 77.96°, γ = 77.96°
With the nearest neighbours (Å) after each atom.
Element x y z (fractional)
1 B 0.3589 0.9453 0.3369  3 B 1.74-1.90
2 B 0.2019 0.5116 0.0846  3 B 1.74-1.90
3 B 0.3589 0.3369 0.9453  3 B 1.74-1.90
4 B 0.2019 0.0846 0.5116  3 B 1.74-1.90
5 B 0.6411 0.6631 0.0547  3 B 1.74-1.90
6 B 0.7981 0.4884 0.9154  3 B 1.74-1.90
7 B 0.6411 0.0547 0.6631  3 B 1.74-1.90
8 B 0.7981 0.9154 0.4884  3 B 1.74-1.90
9 Tc 0.0000 0.2446 0.7554  6 B 2.25-2.26
10 Tc 0.5000 0.0000 0.0000  4 B 2.44
11 Tc 0.0000 0.7554 0.2446  6 B 2.25-2.26
12 Tm 0.7878 0.2122 0.2122  10 B 2.56-2.75, 2 Tc 2.81
13 Tm 0.5000 0.5000 0.5000  4 Tc 2.90, 4 Tm 3.11-3.16
14 Tm 0.2122 0.7878 0.7878  10 B 2.56-2.75, 2 Tc 2.81

Results
Energy relative to the elements ... -260 meV/atom


## HfSn3Ir (GGA-PBE)

Data for an optimized crystal structure of HfSn3Ir.

a = 5.1190 Å, b = 5.1190 Å, c = 5.1190 Å
α = 90.00°, β = 90.00°, γ = 90.00°
With the nearest neighbours (Å) after each atom.
Element x y z (fractional)
1 Ir 0.0000 0.0000 0.0000  6 Sn 2.56
2 Hf 0.5000 0.5000 0.5000  12 Sn 3.62
3 Sn 0.5000 0.0000 0.0000  2 Ir 2.56
4 Sn 0.0000 0.5000 0.0000  2 Ir 2.56
5 Sn 0.0000 0.0000 0.5000  2 Ir 2.56

Results
Energy relative to the elements ... 578 meV/atom


## LaMgP2Br (GGA-PBE)

Data for an optimized crystal structure of LaMgP2Br.

a = 4.6510 Å, b = 6.0975 Å, c = 4.6510 Å
α = 90.00°, β = 90.00°, γ = 90.00°
With the nearest neighbours (Å) after each atom.
Element x y z (fractional)
1 P 0.0000 0.0000 0.5000  2 Mg 2.33
2 P 0.5000 0.0000 0.0000  2 Mg 2.33
3 Br 0.5000 0.5000 0.5000  4 La 3.29
4 La 0.0000 0.5000 0.0000  2 Mg 3.05, 4 Br 3.29
5 Mg 0.0000 0.0000 0.0000  4 P 2.33

Results
E_form (uncorrected) ... -0.11 eV per atom


## LuPaZnCd (GGA-PBE)

Data for an optimized crystal structure of LuPaZnCd.

a = 5.1132 Å, b = 5.1132 Å, c = 5.1132 Å
α = 60.00°, β = 60.00°, γ = 60.00°
With the nearest neighbours (Å) after each atom.
Element x y z (fractional)
1 Pa 0.0000 0.0000 0.0000  4 Zn 3.13, 4 Cd 3.13
2 Cd 0.7500 0.7500 0.7500  4 Lu 3.13, 4 Pa 3.13
3 Lu 0.5000 0.5000 0.5000  4 Cd 3.13, 4 Zn 3.13
4 Zn 0.2500 0.2500 0.2500  4 Pa 3.13, 4 Lu 3.13

Results
Energy relative to the elements ... 54 meV/atom


## TlInOs2 (GGA-PBE)

Data for an optimized crystal structure of TlInOs2.

a = 4.6364 Å, b = 4.6364 Å, c = 4.6364 Å
α = 60.00°, β = 60.00°, γ = 60.00°
With the nearest neighbours (Å) after each atom.
Element x y z (fractional)
1 Os 0.7500 0.7500 0.7500  4 In 2.84, 4 Tl 2.84
2 Os 0.2500 0.2500 0.2500  4 Tl 2.84, 4 In 2.84
3 Tl 0.5000 0.5000 0.5000  8 Os 2.84
4 In 0.0000 0.0000 0.0000  8 Os 2.84

Results
Energy relative to the elements ... 946 meV/atom


## CdO (GGA-PBE)

Data for an optimized crystal structure of CdO.

a = 9.7612 Å, b = 10.3851 Å, c = 7.0410 Å
α = 90.00°, β = 90.00°, γ = 90.00°
With the nearest neighbours (Å) after each atom.
Element x y z (fractional)
1 Cd 0.4191 0.7500 0.2500  4 O 2.17-2.31
2 Cd 0.4191 0.2500 0.7500  4 O 2.17-2.31
3 Cd 0.1691 0.5000 0.5000  4 O 2.17-2.31
4 Cd 0.3309 0.0000 0.5000  4 O 2.17-2.31
5 Cd 0.8309 0.0000 0.0000  4 O 2.17-2.31
6 Cd 0.1691 0.0000 0.0000  4 O 2.17-2.31
7 Cd 0.3309 0.5000 0.0000  4 O 2.17-2.31
8 Cd 0.6691 0.0000 0.5000  4 O 2.17-2.31
9 Cd 0.8309 0.5000 0.5000  4 O 2.17-2.31
10 Cd 0.9191 0.2500 0.2500  4 O 2.17-2.31
11 Cd 0.5809 0.7500 0.7500  4 O 2.17-2.31
12 Cd 0.5809 0.2500 0.2500  4 O 2.17-2.31
13 Cd 0.9191 0.7500 0.7500  4 O 2.17-2.31
14 Cd 0.0809 0.2500 0.7500  4 O 2.17-2.31
15 Cd 0.0809 0.7500 0.2500  4 O 2.17-2.31
16 Cd 0.6691 0.5000 0.0000  4 O 2.17-2.31
17 O 0.7500 0.5948 0.7500  4 Cd 2.17-2.31
18 O 0.5000 0.6552 0.0000  4 Cd 2.17-2.31
19 O 0.5000 0.3448 0.0000  4 Cd 2.17-2.31
20 O 0.2500 0.4052 0.7500  4 Cd 2.17-2.31
21 O 0.7500 0.9052 0.7500  4 Cd 2.17-2.31
22 O 0.7500 0.0948 0.2500  4 Cd 2.17-2.31
23 O 0.0000 0.8448 0.0000  4 Cd 2.17-2.31
24 O 0.2500 0.5948 0.2500  4 Cd 2.17-2.31
25 O 0.5000 0.1552 0.5000  4 Cd 2.17-2.31
26 O 0.2500 0.0948 0.7500  4 Cd 2.17-2.31
27 O 0.0000 0.6552 0.5000  4 Cd 2.17-2.31
28 O 0.2500 0.9052 0.2500  4 Cd 2.17-2.31
29 O 0.7500 0.4052 0.2500  4 Cd 2.17-2.31
30 O 0.5000 0.8448 0.5000  4 Cd 2.17-2.31
31 O 0.0000 0.1552 0.0000  4 Cd 2.17-2.31
32 O 0.0000 0.3448 0.5000  4 Cd 2.17-2.31

Results
E_form (uncorrected) ... -0.90 eV per atom


## CaZr2Be (GGA-PBE)

Data for an optimized crystal structure of CaZr2Be.

a = 5.4291 Å, b = 5.4291 Å, c = 5.4291 Å
α = 132.32°, β = 132.32°, γ = 69.72°
With the nearest neighbours (Å) after each atom.
Element x y z (fractional)
1 Zr 0.2500 0.7500 0.5000  4 Ca 3.10, 4 Zr 3.13, 4 Be 3.13
2 Zr 0.0000 0.0000 0.0000  4 Be 3.10, 4 Zr 3.13, 4 Ca 3.13
3 Ca 0.7500 0.2500 0.5000  8 Zr 3.10-3.13, 4 Be 3.13
4 Be 0.5000 0.5000 0.0000  8 Zr 3.10-3.13, 4 Ca 3.13

Results
Energy relative to the elements ... 479 meV/atom


## PrGa5Ir2Rh (GGA-PBE)

Data for an optimized crystal structure of PrGa5Ir2Rh.

a = 4.7918 Å, b = 4.7918 Å, c = 7.7190 Å
α = 90.00°, β = 90.00°, γ = 90.00°
With the nearest neighbours (Å) after each atom.
Element x y z (fractional)
1 Ga 0.0000 0.5000 0.8252  2 Ir 2.41
2 Ga 0.0000 0.5000 0.1748  2 Ir 2.41
3 Ga 0.5000 0.5000 0.5000  2 Ir 2.30
4 Ga 0.5000 0.0000 0.1748  2 Ir 2.41
5 Ga 0.5000 0.0000 0.8252  2 Ir 2.41
6 Rh 0.0000 0.0000 0.0000  8 Ga 2.75
7 Ir 0.5000 0.5000 0.2026  5 Ga 2.30-2.41
8 Ir 0.5000 0.5000 0.7974  5 Ga 2.30-2.41
9 Pr 0.0000 0.0000 0.5000  12 Ga 3.39-3.47

Results
Energy relative to the elements ... -309 meV/atom


## SmDy6Er4 (GGA-PBE)

Data for an optimized crystal structure of SmDy6Er4.

a = 5.6722 Å, b = 5.5715 Å, c = 25.5611 Å
α = 90.00°, β = 90.00°, γ = 120.60°
With the nearest neighbours (Å) after each atom.
Element x y z (fractional)
1 Dy 0.5224 0.0449 0.7500  3 Sm 3.21-3.25, 2 Er 3.29
2 Dy 0.8107 0.6214 0.3978  6 Er 3.27-3.66
3 Dy 0.1893 0.3786 0.6022  6 Er 3.27-3.66
4 Dy 0.5000 0.0000 0.0000  8 Er 3.11-3.46
5 Dy 0.1427 0.2853 0.1809  4 Er 3.51-3.61, 7 Dy 3.53-3.83, 3 Sm 3.63-3.72
6 Dy 0.8573 0.7147 0.6809  4 Er 3.51-3.61, 7 Dy 3.53-3.83, 3 Sm 3.63-3.72
7 Dy 0.5000 0.0000 0.5000  8 Er 3.11-3.46
8 Dy 0.1427 0.2853 0.3191  4 Er 3.51-3.61, 7 Dy 3.53-3.83, 3 Sm 3.63-3.72
9 Dy 0.1893 0.3786 0.8978  6 Er 3.27-3.66
10 Dy 0.8573 0.7147 0.8191  4 Er 3.51-3.61, 7 Dy 3.53-3.83, 3 Sm 3.63-3.72
11 Dy 0.8107 0.6214 0.1022  6 Er 3.27-3.66
12 Dy 0.4776 0.9551 0.2500  3 Sm 3.21-3.25, 2 Er 3.29
13 Er 0.4723 0.9447 0.1214  5 Dy 3.11-3.29
14 Er 0.5277 0.0553 0.6214  5 Dy 3.11-3.29
15 Er 0.1573 0.3146 0.0423  8 Dy 3.39-3.71, 2 Er 3.63-3.71
16 Er 0.4723 0.9447 0.3786  5 Dy 3.11-3.29
17 Er 0.5277 0.0553 0.8786  5 Dy 3.11-3.29
18 Er 0.8427 0.6854 0.9577  8 Dy 3.39-3.71, 2 Er 3.63-3.71
19 Er 0.1573 0.3146 0.4577  8 Dy 3.39-3.71, 2 Er 3.63-3.71
20 Er 0.8427 0.6854 0.5423  8 Dy 3.39-3.71, 2 Er 3.63-3.71
21 Sm 0.1880 0.3760 0.7500  3 Dy 3.21-3.25
22 Sm 0.8120 0.6240 0.2500  3 Dy 3.21-3.25

Results
Energy relative to the elements ... 126 meV/atom


## Cs3Rb2Pb4 (GGA-PBE)

Data for an optimized crystal structure of Cs3Rb2Pb4.

a = 6.6942 Å, b = 10.0566 Å, c = 10.6691 Å
α = 49.19°, β = 59.79°, γ = 64.08°
With the nearest neighbours (Å) after each atom.
Element x y z (fractional)
1 Pb 0.0902 0.3316 0.4980  2 Pb 3.05-3.08
2 Pb 0.7106 0.5978 0.8652  2 Pb 3.05-3.06
3 Pb 0.9098 0.6684 0.5020  2 Pb 3.05-3.08
4 Pb 0.2894 0.4022 0.1348  2 Pb 3.05-3.06
5 Cs 0.5840 0.6453 0.2236  4 Pb 3.79-4.20, 1 Rb 3.94, 1 Cs 4.13
6 Cs 0.0000 0.0000 0.0000  2 Pb 3.92, 2 Cs 4.13
7 Cs 0.4160 0.3547 0.7764  4 Pb 3.79-4.20, 1 Rb 3.94, 1 Cs 4.13
8 Rb 0.2325 0.8574 0.6222  4 Pb 3.80-4.00, 2 Rb 3.91-4.20, 1 Cs 3.94
9 Rb 0.7675 0.1426 0.3778  4 Pb 3.80-4.00, 2 Rb 3.91-4.20, 1 Cs 3.94

Results
Energy relative to the elements ... -114 meV/atom


## CeY2Ho3 (GGA-PBE)

Data for an optimized crystal structure of CeY2Ho3.

a = 6.2570 Å, b = 8.0641 Å, c = 8.0641 Å
α = 72.20°, β = 90.00°, γ = 90.00°
With the nearest neighbours (Å) after each atom.
Element x y z (fractional)
1 Y 0.0737 0.6161 0.2539  1 Ce 3.35, 4 Ho 3.37-3.71, 3 Y 3.44-3.56
2 Y 0.0737 0.2539 0.6161  1 Ce 3.35, 4 Ho 3.37-3.71, 3 Y 3.44-3.56
3 Y 0.5737 0.7461 0.3839  1 Ce 3.35, 4 Ho 3.37-3.71, 3 Y 3.44-3.56
4 Y 0.5737 0.3839 0.7461  1 Ce 3.35, 4 Ho 3.37-3.71, 3 Y 3.44-3.56
5 Ho 0.3756 0.8254 0.8254  4 Ho 3.19-3.24, 3 Ce 3.21-3.54
6 Ho 0.0440 0.8716 0.5147  3 Ho 3.19-3.39, 3 Y 3.37-3.43
7 Ho 0.5440 0.4853 0.1284  3 Ho 3.19-3.39, 3 Y 3.37-3.43
8 Ho 0.0440 0.5147 0.8716  3 Ho 3.19-3.39, 3 Y 3.37-3.43
9 Ho 0.5440 0.1284 0.4853  3 Ho 3.19-3.39, 3 Y 3.37-3.43
10 Ho 0.8756 0.1746 0.1746  4 Ho 3.19-3.24, 3 Ce 3.21-3.54
11 Ce 0.3472 0.0774 0.0774  3 Ho 3.21-3.54, 2 Y 3.35
12 Ce 0.8472 0.9226 0.9226  3 Ho 3.21-3.54, 2 Y 3.35

Results
Energy relative to the elements ... 264 meV/atom


## ZnTcPt4 (GGA-PBE)

Data for an optimized crystal structure of ZnTcPt4.

a = 2.7815 Å, b = 2.7815 Å, c = 11.6731 Å
α = 90.00°, β = 90.00°, γ = 90.00°
With the nearest neighbours (Å) after each atom.
Element x y z (fractional)
1 Pt 0.0000 0.0000 0.6618  4 Tc 2.73, 8 Pt 2.78-2.89
2 Pt 0.0000 0.0000 0.3382  4 Tc 2.73, 8 Pt 2.78-2.89
3 Pt 0.5000 0.5000 0.1572  4 Zn 2.69, 8 Pt 2.78-2.89
4 Pt 0.5000 0.5000 0.8428  4 Zn 2.69, 8 Pt 2.78-2.89
5 Tc 0.5000 0.5000 0.5000  8 Pt 2.73, 4 Tc 2.78
6 Zn 0.0000 0.0000 0.0000  8 Pt 2.69, 4 Zn 2.78

Results
Energy relative to the elements ... -301 meV/atom


## LiDyTlHg (GGA-PBE)

Data for an optimized crystal structure of LiDyTlHg.

a = 5.0892 Å, b = 5.0892 Å, c = 5.0892 Å
α = 60.00°, β = 60.00°, γ = 60.00°
With the nearest neighbours (Å) after each atom.
Element x y z (fractional)
1 Dy 0.5000 0.5000 0.5000  4 Tl 3.12, 4 Hg 3.12
2 Tl 0.2500 0.2500 0.2500  4 Li 3.12, 4 Dy 3.12
3 Li 0.0000 0.0000 0.0000  4 Hg 3.12, 4 Tl 3.12
4 Hg 0.7500 0.7500 0.7500  4 Dy 3.12, 4 Li 3.12

Results
Energy relative to the elements ... -384 meV/atom


## Rb4PmDy3Te8 (GGA-PBE)

Data for an optimized crystal structure of Rb4PmDy3Te8.

a = 9.1013 Å, b = 10.0442 Å, c = 9.1014 Å
α = 116.96°, β = 120.00°, γ = 90.00°
With the nearest neighbours (Å) after each atom.
Element x y z (fractional)
1 Te 0.7328 0.6984 0.4657  3 Dy 3.13
2 Te 0.2363 0.7008 0.9647  2 Dy 3.12, 1 Pm 3.17
3 Te 0.7637 0.2992 0.5274  2 Dy 3.12, 1 Pm 3.17
4 Te 0.7637 0.2992 0.0353  2 Dy 3.12, 1 Pm 3.17
5 Te 0.2716 0.2992 0.0353  2 Dy 3.12, 1 Pm 3.17
6 Te 0.7284 0.7008 0.9647  2 Dy 3.12, 1 Pm 3.17
7 Te 0.2672 0.3016 0.5343  3 Dy 3.13
8 Te 0.2363 0.7008 0.4726  2 Dy 3.12, 1 Pm 3.17
9 Rb 0.5000 0.0000 0.5000  6 Te 3.68
10 Rb 0.0000 0.0000 0.0000  6 Te 3.68
11 Rb 0.5000 0.0000 0.0000  6 Te 3.64
12 Rb 0.0000 0.0000 0.5000  6 Te 3.68
13 Pm 0.0000 0.5000 0.0000  6 Te 3.17
14 Dy 0.5000 0.5000 0.5000  6 Te 3.12-3.13
15 Dy 0.5000 0.5000 0.0000  6 Te 3.12-3.13
16 Dy 0.0000 0.5000 0.5000  6 Te 3.12-3.13

Results
E_form (uncorrected) ... -1.39 eV per atom


## NaCe4N5 (GGA-PBE)

Data for an optimized crystal structure of NaCe4N5.

a = 3.6065 Å, b = 6.2179 Å, c = 7.8255 Å
α = 76.65°, β = 76.68°, γ = 73.14°
With the nearest neighbours (Å) after each atom.
Element x y z (fractional)
1 N 0.2079 0.9051 0.6791  5 Ce 2.40-2.54, 1 Na 2.60
2 N 0.7921 0.0949 0.3209  5 Ce 2.40-2.54, 1 Na 2.60
3 N 0.6226 0.6365 0.1183  4 Ce 2.37-2.43
4 N 0.3774 0.3635 0.8817  4 Ce 2.37-2.43
5 N 0.0000 0.5000 0.5000  6 Ce 2.53-2.56
6 Ce 0.4061 0.7980 0.3899  6 N 2.40-2.56
7 Ce 0.7885 0.6195 0.8035  6 N 2.37-2.54
8 Ce 0.2115 0.3805 0.1965  6 N 2.37-2.54
9 Ce 0.5939 0.2020 0.6101  6 N 2.40-2.56
10 Na 0.0000 0.0000 0.0000  6 N 2.60-2.84

Results
E_form (uncorrected) ... -1.27 eV per atom


## RbAlSn (GGA-PBE)

Data for an optimized crystal structure of RbAlSn.

a = 16.2918 Å, b = 8.5305 Å, c = 6.7053 Å
α = 90.00°, β = 156.54°, γ = 90.00°
With the nearest neighbours (Å) after each atom.
Element x y z (fractional)
1 Sn 0.0552 0.4132 0.4220  3 Al 3.03-3.14, 1 Sn 3.16, 1 Rb 3.36
2 Sn 0.4448 0.9132 0.0780  3 Al 3.03-3.14, 1 Sn 3.16, 1 Rb 3.36
3 Sn 0.9448 0.5868 0.5780  3 Al 3.03-3.14, 1 Sn 3.16, 1 Rb 3.36
4 Sn 0.5552 0.0868 0.9220  3 Al 3.03-3.14, 1 Sn 3.16, 1 Rb 3.36
5 Rb 0.0958 0.2094 0.0852  4 Al 3.31-3.59, 5 Sn 3.36-3.69
6 Rb 0.5958 0.2906 0.5852  4 Al 3.31-3.59, 5 Sn 3.36-3.69
7 Rb 0.9042 0.7906 0.9148  4 Al 3.31-3.59, 5 Sn 3.36-3.69
8 Rb 0.4042 0.7094 0.4148  4 Al 3.31-3.59, 5 Sn 3.36-3.69
9 Al 0.1765 0.0815 0.8049  1 Al 2.93, 3 Sn 3.03-3.14
10 Al 0.3235 0.5815 0.6951  1 Al 2.93, 3 Sn 3.03-3.14
11 Al 0.8235 0.9185 0.1951  1 Al 2.93, 3 Sn 3.03-3.14
12 Al 0.6765 0.4185 0.3049  1 Al 2.93, 3 Sn 3.03-3.14

Results
Energy relative to the elements ... 54 meV/atom